Entry 1:
DFT (GGA-PBE) results for a relaxed Ce3Cu3NiS8 crystal.

Its total energy is -5.571 eV per atom. For the formation energy from raw total energies, the calculation gives -0.98 eV per atom.

The space group is C2/m (No. 12) and the conventional cell measures 12.0867, 8.0608 and 8.1634 Å, with angles of 90.00, 125.82 and 90.00 degrees. The distinct sites, in fractional coordinates, are Ce at (0.0000, 0.0000, 0.0000), Ce at (0.2500, 0.2500, 0.5000), Cu at (0.0000, 0.5000, 0.5000), Cu at (0.2500, 0.2500, 0.0000), Ni at (0.0000, 0.5000, 0.0000), S at (0.0247, 0.2748, 0.8120), S at (0.2260, 0.5000, 0.7124) and S at (0.2479, 0.5000, 0.2695).



Entry 2:
DFT (GGA-PBE) results for a relaxed CeCu2NiS4 crystal.

Its total energy is -5.282 eV per atom. For the formation energy from raw total energies, the calculation gives -0.73 eV per atom.

The space group is Cmcm (No. 63) and the conventional cell measures 3.8454, 12.8458 and 11.4802 Å, with angles of 90.00, 90.00 and 90.00 degrees. The distinct sites, in fractional coordinates, are Ce at (0.0000, 0.0787, 0.2500), Cu at (0.0000, 0.4005, 0.0503), Ni at (0.0000, 0.1845, 0.7500), S at (0.0000, 0.0000, 0.0000), S at (0.0000, 0.3141, 0.6207) and S at (0.0000, 0.4072, 0.2500).



Entry 3:
DFT (GGA-PBE) results for a relaxed Ce2CuNi4Sb3 crystal.

Its total energy is -5.714 eV per atom. For the formation energy from raw total energies, the calculation gives -0.57 eV per atom.

The space group is P-4m2 (No. 115) and the conventional cell measures 4.3260, 4.3260 and 10.0040 Å, with angles of 90.00, 90.00 and 90.00 degrees. The distinct sites, in fractional coordinates, are Ce at (0.0000, 0.5000, 0.2490), Cu at (0.0000, 0.0000, 0.5000), Ni at (0.0000, 0.0000, 0.0000), Ni at (0.0000, 0.5000, 0.6212), Ni at (0.5000, 0.5000, 0.0000), Sb at (0.0000, 0.5000, 0.8674) and Sb at (0.5000, 0.5000, 0.5000).



Entry 4:
DFT (GGA-PBE) results for a relaxed CeScCuNi crystal.

Its calculated formation energy is -0.21 eV per atom. Its total energy is -5.746 eV per atom.

The space group is F-43m (No. 216) and the conventional cell measures 6.7177, 6.7177 and 6.7177 Å, with angles of 90.00, 90.00 and 90.00 degrees. The distinct sites, in fractional coordinates, are Ce at (0.0000, 0.0000, 0.0000), Sc at (0.0000, 0.0000, 0.5000), Cu at (0.2500, 0.2500, 0.2500) and Ni at (0.2500, 0.2500, 0.7500).



Entry 5:
DFT (GGA-PBE) results for a relaxed Ce2CuSiNi6 crystal.

Its total energy is -5.877 eV per atom. For the formation energy from raw total energies, the calculation gives -0.27 eV per atom.

The space group is R-3m (No. 166, hexagonal axes) and the conventional cell measures 5.9164, 5.9164 and 31.5165 Å, with angles of 90.00, 90.00 and 120.00 degrees. The distinct sites, in fractional coordinates, are Ce at (0.0000, 0.0000, 0.1352), Ce at (0.0000, 0.0000, 0.2998), Cu at (0.0000, 0.0000, 0.0000), Cu at (0.0000, 0.0000, 0.5000), Si at (0.0000, 0.0000, 0.4211), Ni at (0.0583, 0.5292, 0.7261) and Ni at (0.0659, 0.5329, 0.8835).



Entry 6:
DFT (GGA-PBE) results for a relaxed CeCuSiNi6 crystal.

Its total energy is -5.574 eV per atom. For the formation energy from raw total energies, the calculation gives 0.00 eV per atom.

The space group is Imma (No. 74) and the conventional cell measures 6.1651, 8.1532 and 9.9554 Å, with angles of 90.00, 90.00 and 90.00 degrees. The distinct sites, in fractional coordinates, are Ce at (0.0000, 0.2500, 0.2254), Cu at (0.2500, 0.2500, 0.7500), Si at (0.0000, 0.0000, 0.0000), Ni at (0.0000, 0.2500, 0.5009), Ni at (0.0000, 0.2500, 0.9241) and Ni at (0.1974, 0.0029, 0.6248).



Entry 7:
DFT (GGA-PBE) results for a relaxed Ce3CuSi6Ni2 crystal.

Its total energy is -5.792 eV per atom. For the formation energy from raw total energies, the calculation gives -0.29 eV per atom.

The space group is P-3m1 (No. 164) and the conventional cell measures 5.7418, 5.7418 and 7.8085 Å, with angles of 90.00, 90.00 and 120.00 degrees. The distinct sites, in fractional coordinates, are Ce at (0.0000, 0.0000, 0.0000), Ce at (0.3333, 0.6667, 0.6365), Cu at (0.0000, 0.0000, 0.5000), Si at (0.1902, 0.3805, 0.2909) and Ni at (0.3333, 0.6667, 0.0542).



Entry 8:
DFT (GGA-PBE) results for a relaxed CeCuNiSn crystal.

Its calculated formation energy is -0.39 eV per atom. Its total energy is -5.341 eV per atom.

The space group is F-43m (No. 216) and the conventional cell measures 6.6552, 6.6552 and 6.6552 Å, with angles of 90.00, 90.00 and 90.00 degrees. The distinct sites, in fractional coordinates, are Ce at (0.0000, 0.0000, 0.0000), Cu at (0.2500, 0.2500, 0.2500), Ni at (0.2500, 0.2500, 0.7500) and Sn at (0.0000, 0.0000, 0.5000).



Entry 9:
DFT (GGA-PBE) results for a relaxed TbCeCuNi crystal.

Its calculated formation energy is -0.20 eV per atom. Its total energy is -5.313 eV per atom.

The space group is F-43m (No. 216) and the conventional cell measures 6.9161, 6.9161 and 6.9161 Å, with angles of 90.00, 90.00 and 90.00 degrees. The distinct sites, in fractional coordinates, are Tb at (0.0000, 0.0000, 0.0000), Ce at (0.0000, 0.0000, 0.5000), Cu at (0.2500, 0.2500, 0.2500) and Ni at (0.2500, 0.2500, 0.7500).



Entry 10:
DFT (GGA-PBE) results for a relaxed CeTmCuNi crystal.

Its calculated formation energy is -0.24 eV per atom. Its total energy is -5.311 eV per atom.

The space group is F-43m (No. 216) and the conventional cell measures 6.8563, 6.8563 and 6.8563 Å, with angles of 90.00, 90.00 and 90.00 degrees. The distinct sites, in fractional coordinates, are Ce at (0.0000, 0.0000, 0.0000), Tm at (0.0000, 0.0000, 0.5000), Cu at (0.2500, 0.2500, 0.2500) and Ni at (0.2500, 0.2500, 0.7500).



Entry 11:
DFT (GGA-PBE) results for a relaxed CeUCuNi crystal.

Its calculated formation energy is -0.03 eV per atom. Its total energy is -6.806 eV per atom.

The space group is F-43m (No. 216) and the conventional cell measures 6.5155, 6.5155 and 6.5155 Å, with angles of 90.00, 90.00 and 90.00 degrees. The distinct sites, in fractional coordinates, are Ce at (0.0000, 0.0000, 0.0000), U at (0.2500, 0.2500, 0.7500), Cu at (0.2500, 0.2500, 0.2500) and Ni at (0.0000, 0.0000, 0.5000).



Entry 12:
DFT (GGA-PBE) results for a relaxed CeYCuNi crystal.

Its calculated formation energy is -0.20 eV per atom. Its total energy is -5.768 eV per atom.

The space group is F-43m (No. 216) and the conventional cell measures 6.9201, 6.9201 and 6.9201 Å, with angles of 90.00, 90.00 and 90.00 degrees. The distinct sites, in fractional coordinates, are Ce at (0.0000, 0.0000, 0.0000), Y at (0.0000, 0.0000, 0.5000), Cu at (0.2500, 0.2500, 0.2500) and Ni at (0.2500, 0.2500, 0.7500).



Entry 13:
DFT (GGA-PBE) results for a relaxed Ce2Zn3CuNi12 crystal.

Its calculated formation energy is -0.09 eV per atom. Its total energy is -5.045 eV per atom.

The space group is R-3m (No. 166, hexagonal axes) and the conventional cell measures 8.3526, 8.3526 and 12.2546 Å, with angles of 90.00, 90.00 and 120.00 degrees. The distinct sites, in fractional coordinates, are Ce at (0.0000, 0.0000, 0.1627), Zn at (0.0000, 0.5000, 0.0000), Cu at (0.0000, 0.0000, 0.5000), Ni at (0.0112, 0.5056, 0.2026) and Ni at (0.0132, 0.5066, 0.6059).



Entry 14:
DFT (GGA-PBE) results for a relaxed Ce2Zn3Cu12Ni crystal.

Its calculated formation energy is 0.16 eV per atom. Its total energy is -3.764 eV per atom.

The space group is R-3m (No. 166, hexagonal axes) and the conventional cell measures 6.1647, 6.1647 and 26.5744 Å, with angles of 90.00, 90.00 and 120.00 degrees. The distinct sites, in fractional coordinates, are Ce at (0.0000, 0.0000, 0.1535), Zn at (0.0000, 0.5000, 0.0000), Cu at (0.0540, 0.5270, 0.0966), Cu at (0.0735, 0.5367, 0.6161) and Ni at (0.0000, 0.0000, 0.5000).



Entry 15:
DFT (GGA-PBE) results for a relaxed Ce2Zn2CuNi5 crystal.

Its calculated formation energy is -0.10 eV per atom. Its total energy is -4.844 eV per atom.

The space group is P4/mbm (No. 127) and the conventional cell measures 9.4799, 9.4799 and 3.4165 Å, with angles of 90.00, 90.00 and 90.00 degrees. The distinct sites, in fractional coordinates, are Ce at (0.1779, 0.3221, 0.0000), Zn at (0.1216, 0.6216, 0.0000), Cu at (0.0000, 0.0000, 0.0000), Ni at (0.0000, 0.5000, 0.5000) and Ni at (0.0522, 0.8059, 0.5000).



Entry 16:
DFT (GGA-PBE) results for a relaxed CeZnCuNi crystal.

Its calculated formation energy is -0.25 eV per atom. Its total energy is -4.523 eV per atom.

The space group is R3m (No. 160, hexagonal axes) and the conventional cell measures 4.2662, 4.2662 and 13.4436 Å, with angles of 90.00, 90.00 and 120.00 degrees. The distinct sites, in fractional coordinates, are Ce at (0.0000, 0.0000, 0.0000), Zn at (0.0000, 0.0000, 0.4925), Cu at (0.0000, 0.0000, 0.2085) and Ni at (0.0000, 0.0000, 0.7937).



Entry 17:
DFT (GGA-PBE) results for a relaxed Ce2ZnCu2Ni5 crystal.

Its calculated formation energy is -0.18 eV per atom. Its total energy is -5.206 eV per atom.

The space group is P4/mbm (No. 127) and the conventional cell measures 9.0815, 9.0815 and 3.6269 Å, with angles of 90.00, 90.00 and 90.00 degrees. The distinct sites, in fractional coordinates, are Ce at (0.1807, 0.3193, 0.0000), Zn at (0.0000, 0.0000, 0.0000), Cu at (0.1179, 0.6179, 0.0000), Ni at (0.0000, 0.5000, 0.5000) and Ni at (0.0564, 0.7964, 0.5000).



Entry 18:
DFT (GGA-PBE) results for a relaxed Ce2ZnCu3Ni12 crystal.

Its calculated formation energy is -0.05 eV per atom. Its total energy is -5.317 eV per atom.

The space group is R-3m (No. 166, hexagonal axes) and the conventional cell measures 8.2852, 8.2852 and 12.1965 Å, with angles of 90.00, 90.00 and 120.00 degrees. The distinct sites, in fractional coordinates, are Ce at (0.0000, 0.0000, 0.1871), Zn at (0.0000, 0.0000, 0.5000), Cu at (0.0000, 0.5000, 0.0000), Ni at (0.0109, 0.5055, 0.2041) and Ni at (0.0211, 0.5105, 0.6059).



Entry 19:
DFT (GGA-PBE) results for a relaxed CeNp2CuS5 crystal.

Its total energy is -7.602 eV per atom. For the formation energy from raw total energies, the calculation gives -1.32 eV per atom.

The space group is Cmc2_1 (No. 36) and the conventional cell measures 3.8069, 16.3861 and 11.8572 Å, with angles of 90.00, 90.00 and 90.00 degrees. The distinct sites, in fractional coordinates, are Ce at (0.0000, 0.1811, 0.0000), Np at (0.0000, 0.1148, 0.3201), Np at (0.0000, 0.1152, 0.6635), Cu at (0.0000, 0.4523, 0.3899), S at (0.0000, 0.0112, 0.9840), S at (0.0000, 0.3010, 0.6687), S at (0.0000, 0.3185, 0.3261), S at (0.0000, 0.3472, 0.9905) and S at (0.0000, 0.4911, 0.7172).



Entry 20:
DFT (GGA-PBE) results for a relaxed CeNpCuS4 crystal.

Its total energy is -6.939 eV per atom. For the formation energy from raw total energies, the calculation gives -1.30 eV per atom.

The space group is P2_1/m (No. 11) and the conventional cell measures 6.3329, 6.3096 and 7.6175 Å, with angles of 90.00, 107.41 and 90.00 degrees. The distinct sites, in fractional coordinates, are Ce at (0.2379, 0.2500, 0.0589), Np at (0.2245, 0.2500, 0.5563), Cu at (0.2425, 0.7500, 0.3137), S at (0.0174, 0.5115, 0.7473), S at (0.4446, 0.7500, 0.1167) and S at (0.4510, 0.7500, 0.6089).